Entry 1:
A relaxed MgCu2P2 crystal, computed with PBE-GGA.

Unit cell a=7.0263 b=7.0263 c=3.0234 alpha=90.00 beta=90.00 gamma=90.00
Last column: nearest neighbours and their distance in Å.
Fractional coordinates of all 10 atoms:
Mg: 0.0000 0.0000 0.0000  4 P 2.61
Mg: 0.5000 0.5000 0.0000  4 P 2.61
Cu: 0.1290 0.3710 0.5000  6 P 2.51-2.60, 1 Cu 2.56
Cu: 0.3710 0.8710 0.5000  6 P 2.51-2.60, 1 Cu 2.56
Cu: 0.6290 0.1290 0.5000  6 P 2.51-2.60, 1 Cu 2.56
Cu: 0.8710 0.6290 0.5000  6 P 2.51-2.60, 1 Cu 2.56
P: 0.1699 0.6699 0.0000  6 Cu 2.51-2.60, 2 Mg 2.61
P: 0.3301 0.1699 0.0000  6 Cu 2.51-2.60, 2 Mg 2.61
P: 0.6699 0.8301 0.0000  6 Cu 2.51-2.60, 2 Mg 2.61
P: 0.8301 0.3301 0.0000  6 Cu 2.51-2.60, 2 Mg 2.61

Properties
ΔH_f (0 K): 0.072 eV per atom
crystal system: tetragonal
volume: 149.3 Å³/cell
space group: P4/mbm (127)
total moment: 0.000 μB/f.u.

Entry 2:
A relaxed MgCu4P2 crystal, computed with PBE-GGA.

Unit cell a=7.3960 b=7.3960 c=7.3960 alpha=31.43 beta=31.43 gamma=31.43
Last column: nearest neighbours and their distance in Å.
Fractional coordinates of all 7 atoms:
Mg: 0.0000 0.0000 0.0000  6 P 2.83, 8 Cu 2.97-3.02
Cu: 0.1434 0.1434 0.1434  1 P 2.37, 6 Cu 2.51-2.58
Cu: 0.4221 0.4221 0.4221  3 P 2.33, 3 Cu 2.58
Cu: 0.5779 0.5779 0.5779  3 P 2.33, 3 Cu 2.58
Cu: 0.8566 0.8566 0.8566  1 P 2.37, 6 Cu 2.51-2.58
P: 0.2557 0.2557 0.2557  4 Cu 2.33-2.37
P: 0.7443 0.7443 0.7443  4 Cu 2.33-2.37

Properties
ΔH_f (0 K): -0.163 eV per atom
crystal system: trigonal
volume: 97.6 Å³/cell
space group: R-3m (166)
total moment: 0.000 μB/f.u.

Entry 3:
A relaxed MgCuP2 crystal, computed with PBE-GGA.

Unit cell a=5.4774 b=5.4774 c=3.9149 alpha=105.78 beta=105.78 gamma=34.07
Last column: nearest neighbours and their distance in Å.
Fractional coordinates of all 4 atoms:
Mg: 0.0000 0.0000 0.0000  7 P 2.69-2.99, 2 Cu 2.89-2.95
Cu: 0.2155 0.2155 0.6529  5 P 2.38-2.62
P: 0.4004 0.4004 0.4146  1 Cu 2.38, 2 P 2.39
P: 0.7333 0.7333 0.1383  2 P 2.39, 4 Cu 2.45-2.62

Properties
ΔH_f (0 K): -0.029 eV per atom
crystal system: monoclinic
volume: 63.1 Å³/cell
space group: Cm (8)
total moment: 0.000 μB/f.u.

Entry 4:
A relaxed MgCuP2 crystal, computed with PBE-GGA.

Unit cell a=4.0882 b=4.0882 c=5.2182 alpha=103.17 beta=103.17 gamma=49.15
Last column: nearest neighbours and their distance in Å.
Fractional coordinates of all 4 atoms:
Mg: 0.0000 0.0000 0.0000  6 P 2.74-2.75
Cu: 0.5000 0.5000 0.5000  6 P 2.33-2.52
P: 0.2471 0.2471 0.6883  3 Cu 2.33-2.52, 2 P 2.61
P: 0.7529 0.7529 0.3117  3 Cu 2.33-2.52, 2 P 2.61

Properties
ΔH_f (0 K): -0.028 eV per atom
crystal system: monoclinic
volume: 63.9 Å³/cell
space group: C2/m (12)
total moment: 0.000 μB/f.u.

Entry 5:
A relaxed PmMgCu2P2 crystal, computed with PBE-GGA.

Unit cell a=3.9874 b=3.9874 c=7.4686 alpha=90.00 beta=90.00 gamma=120.00
Last column: nearest neighbours and their distance in Å.
Fractional coordinates of all 6 atoms:
Pm: 0.0000 0.0000 0.0000  6 P 3.02, 6 Cu 3.08
Mg: 0.0000 0.0000 0.5000  6 Cu 2.86, 6 P 2.91
Cu: 0.3333 0.6667 0.7262  3 P 2.30
Cu: 0.6667 0.3333 0.2738  3 P 2.30
P: 0.3333 0.6667 0.2615  3 Cu 2.30
P: 0.6667 0.3333 0.7385  3 Cu 2.30

Properties
ΔH_f (0 K): -0.697 eV per atom
crystal system: trigonal
volume: 102.8 Å³/cell
space group: P-3m1 (164)
total moment: 0.000 μB/f.u.

Entry 6:
A relaxed PmMgCuP crystal, computed with PBE-GGA.

Unit cell a=4.8179 b=4.8179 c=4.8179 alpha=60.00 beta=60.00 gamma=60.00
Last column: nearest neighbours and their distance in Å.
Fractional coordinates of all 4 atoms:
Pm: 0.0000 0.0000 0.0000  4 Cu 2.95, 4 P 2.95
Mg: 0.5000 0.5000 0.5000  4 P 2.95, 4 Cu 2.95
Cu: 0.2500 0.2500 0.2500  4 Mg 2.95, 4 Pm 2.95
P: 0.7500 0.7500 0.7500  4 Mg 2.95, 4 Pm 2.95

Properties
ΔH_f (0 K): -0.374 eV per atom
crystal system: cubic
volume: 79.1 Å³/cell
space group: F-43m (216)
total moment: 0.000 μB/f.u.